(1)
Compound: CuOsRu2
Source: Alexandria
Functional: GGA-PBEsol
Structure: optimized geometry

Calculated values
- E_tot: -35.55 eV/cell
- ΔH_f (0 K): 336 meV/atom
- Total magnetization: 0.00 Bohr magnetons per cell

Structure (POSCAR):
```
CuOsRu2
1.0
-1.8379 1.8379 3.8865
1.8379 -1.8379 3.8865
1.8379 1.8379 -3.8865
Cu Os Ru
1 1 2
direct
0.0000 0.0000 0.0000
0.7500 0.2500 0.5000
0.2500 0.7500 0.5000
0.5000 0.5000 0.0000
```


(2)
Compound: BaSrMg2
Source: Alexandria
Functional: GGA-PBEsol
Structure: optimized geometry

Calculated values
- Distance to the lowest polymorph of the same formula: 67 meV per atom
- E_tot: -7.42 eV/cell
- ΔH_f (0 K): 1 meV/atom
- Total magnetization: 0.00 Bohr magnetons per cell

Structure (POSCAR):
```
BaSrMg2
1.0
4.0412 0.0000 0.0000
0.0000 4.0412 0.0000
0.0000 0.0000 9.3355
Ba Sr Mg
1 1 2
direct
0.0000 0.0000 0.0000
0.5000 0.5000 0.6413
0.0000 0.0000 0.4056
0.5000 0.5000 0.2534
```


(3)
Compound: Ba2AuCl
Source: Alexandria
Functional: GGA-PBEsol
Structure: optimized geometry

Calculated values
- Distance to the lowest polymorph of the same formula: 697 meV per atom
- E_tot: -12.42 eV/cell
- Formation energy without anion corrections: -548 meV per atom
- Total magnetization: 0.00 Bohr magnetons per cell

Structure (POSCAR):
```
Ba2AuCl
1.0
0.0000 3.8637 3.8637
3.8637 0.0000 3.8637
3.8637 3.8637 0.0000
Ba Au Cl
2 1 1
direct
0.0000 0.0000 0.0000
0.2500 0.2500 0.2500
0.5000 0.5000 0.5000
0.7500 0.7500 0.7500
```


(4)
Compound: MoSCl2F
Source: Alexandria
Functional: GGA-PBEsol
Structure: optimized geometry

Calculated values
- E_tot: -18.77 eV/cell
- Formation energy without anion corrections: 664 meV per atom
- Total magnetization: 3.01 Bohr magnetons per cell

Structure (POSCAR):
```
MoSCl2F
1.0
5.0252 0.0000 0.0000
0.0000 5.0252 0.0000
0.0000 0.0000 3.6185
Mo S Cl F
1 1 2 1
direct
0.0000 0.0000 0.0000
0.5000 0.5000 0.0000
0.0000 0.5000 0.5000
0.5000 0.0000 0.5000
0.5000 0.5000 0.5000
```


(5)
Compound: V2Pb2O7
Source: Alexandria
Functional: GGA-PBEsol
Structure: optimized geometry

Calculated values
- E_tot: -344.01 eV/cell
- Formation energy without anion corrections: -1999 meV per atom
- Total magnetization: 0.00 Bohr magnetons per cell

Structure (POSCAR):
```
V2Pb2O7
1.0
7.0629 0.0000 0.0000
0.0000 7.1287 0.0000
-3.7909 0.0000 12.8078
V Pb O
8 8 28
direct
0.1116 0.1757 0.4158
0.1116 0.3243 0.9158
0.2928 0.0633 0.1096
0.2928 0.4367 0.6096
0.7072 0.5633 0.3904
0.7072 0.9367 0.8904
0.8884 0.6757 0.0842
0.8884 0.8243 0.5842
0.1693 0.6824 0.3432
0.1693 0.8176 0.8432
0.4553 0.5986 0.1340
0.4553 0.9014 0.6340
0.5447 0.0986 0.3660
0.5447 0.4014 0.8660
0.8307 0.1824 0.1568
0.8307 0.3176 0.6568
0.0936 0.2040 0.0309
0.0936 0.2960 0.5309
0.1081 0.5874 0.1555
0.1081 0.9126 0.6555
0.2054 0.1765 0.8445
0.2054 0.3235 0.3445
0.2233 0.5204 0.7104
0.2233 0.9796 0.2104
0.2807 0.5038 0.9516
0.2807 0.9962 0.4516
0.3465 0.6168 0.5394
0.3465 0.8832 0.0394
0.4990 0.1982 0.1624
0.4990 0.3018 0.6624
0.5010 0.6982 0.3376
0.5010 0.8018 0.8376
0.6535 0.1168 0.9606
0.6535 0.3832 0.4606
0.7193 0.0038 0.5484
0.7193 0.4962 0.0484
0.7767 0.0204 0.7896
0.7767 0.4796 0.2896
0.7946 0.6765 0.6555
0.7946 0.8235 0.1555
0.8919 0.0874 0.3445
0.8919 0.4126 0.8445
0.9064 0.7040 0.4691
0.9064 0.7960 0.9691
```


(6)
Compound: BeZnSe2
Source: Alexandria
Functional: GGA-PBEsol
Structure: optimized geometry

Calculated values
- Distance to the lowest polymorph of the same formula: 1050 meV per atom
- E_tot: -11.98 eV/cell
- Formation energy without anion corrections: 325 meV per atom
- Total magnetization: 0.00 Bohr magnetons per cell

Structure (POSCAR):
```
BeZnSe2
1.0
4.5048 0.0000 0.0000
0.0000 4.5048 0.0000
0.0000 0.0000 3.2115
Be Zn Se
1 1 2
direct
0.0000 0.0000 0.0000
0.5000 0.5000 0.0000
0.0000 0.5000 0.5000
0.5000 0.0000 0.5000
```


(7)
Compound: Te2IrPt
Source: Alexandria
Functional: GGA-PBEsol
Structure: optimized geometry

Calculated values
- Distance to the lowest polymorph of the same formula: 646 meV per atom
- E_tot: -21.70 eV/cell
- Formation energy without anion corrections: 535 meV per atom
- Total magnetization: 0.57 Bohr magnetons per cell

Structure (POSCAR):
```
Te2IrPt
1.0
1.8832 1.0873 8.0000
-1.8832 1.0873 8.0000
0.0000 -2.1746 8.0000
Te Ir Pt
2 1 1
direct
0.1036 0.1036 0.1036
0.8964 0.8964 0.8964
0.0000 0.0000 0.0000
0.5000 0.5000 0.5000
```


(8)
Compound: FeCo9O20
Source: Alexandria
Functional: GGA-PBEsol
Structure: optimized geometry

Calculated values
- E_tot: -210.92 eV/cell
- Formation energy without anion corrections: -911 meV per atom
- Total magnetization: 9.62 Bohr magnetons per cell

Structure (POSCAR):
```
FeCo9O20
1.0
4.8183 0.0000 0.0000
2.4087 6.9638 0.0000
0.7645 1.4304 9.1551
Fe Co O
1 9 20
direct
0.0000 0.0000 0.0000
0.1000 0.3000 0.5001
0.1997 0.6004 0.0000
0.3000 0.9000 0.5000
0.4003 0.1996 0.0000
0.5000 0.5000 0.5000
0.5997 0.8004 0.0000
0.7000 0.1000 0.5000
0.8003 0.3996 0.0000
0.9000 0.7000 0.4999
0.0278 0.0793 0.6006
0.0733 0.2198 0.8973
0.1298 0.3800 0.0992
0.1723 0.5207 0.3992
0.2278 0.6792 0.6007
0.2718 0.8224 0.8972
0.3250 0.9789 0.1027
0.3721 0.1207 0.3993
0.4278 0.2793 0.6007
0.4701 0.4207 0.9008
0.5299 0.5793 0.0992
0.5722 0.7207 0.3993
0.6279 0.8793 0.6007
0.6750 0.0211 0.8973
0.7282 0.1776 0.1028
0.7722 0.3208 0.3993
0.8277 0.4793 0.6008
0.8702 0.6200 0.9008
0.9267 0.7802 0.1027
0.9722 0.9207 0.3994
```


(9)
Compound: CoSiRh2
Source: Alexandria
Functional: GGA-PBEsol
Structure: optimized geometry

Calculated values
- E_tot: -30.78 eV/cell
- Formation energy without anion corrections: -255 meV per atom
- Total magnetization: 1.78 Bohr magnetons per cell

Structure (POSCAR):
```
CoSiRh2
1.0
1.3573 0.7836 7.8882
-1.3573 0.7836 7.8882
0.0000 -1.5673 7.8882
Co Si Rh
1 1 2
direct
0.0000 0.0000 0.0000
0.5000 0.5000 0.5000
0.2451 0.2451 0.2451
0.7549 0.7549 0.7549
```


(10)
Compound: LaCrP
Source: Alexandria
Functional: GGA-PBEsol
Structure: optimized geometry

Calculated values
- E_tot: -20.05 eV/cell
- ΔH_f (0 K): 443 meV/atom
- Total magnetization: 5.29 Bohr magnetons per cell

Structure (POSCAR):
```
LaCrP
1.0
0.0000 3.3986 3.3986
3.3986 0.0000 3.3986
3.3986 3.3986 0.0000
La Cr P
1 1 1
direct
0.0000 0.0000 0.0000
0.7500 0.7500 0.7500
0.2500 0.2500 0.2500
```


(11)
Compound: BeOsRu2
Source: Alexandria
Functional: GGA-PBEsol
Structure: optimized geometry

Calculated values
- E_tot: -36.86 eV/cell
- ΔH_f (0 K): -76 meV/atom
- Total magnetization: 0.00 Bohr magnetons per cell

Structure (POSCAR):
```
BeOsRu2
1.0
2.7477 0.0000 0.0000
0.0000 2.7477 0.0000
0.0000 0.0000 6.3945
Be Os Ru
1 1 2
direct
0.0000 0.0000 0.0000
0.0000 0.0000 0.5000
0.5000 0.5000 0.2179
0.5000 0.5000 0.7821
```


(12)
Compound: Rb2ZrSeF
Source: Alexandria
Functional: GGA-PBEsol
Structure: optimized geometry

Calculated values
- E_tot: -19.32 eV/cell
- Formation energy without anion corrections: -481 meV per atom
- Total magnetization: 2.68 Bohr magnetons per cell

Structure (POSCAR):
```
Rb2ZrSeF
1.0
4.7212 0.0000 0.0000
0.0000 4.7212 0.0000
0.0000 0.0000 6.8747
Rb Zr Se F
2 1 1 1
direct
0.0000 0.5000 0.0000
0.5000 0.0000 0.0000
0.0000 0.0000 0.5000
0.5000 0.5000 0.5000
0.5000 0.5000 0.0000
```